No. 1
## NdHfB (PBE-GGA)

Data for NdHfB after structural relaxation.

Lattice parameters (Å, degrees): 4.415 4.415 4.415 60.00 60.00 60.00
Fractional positions:
Nd 0.250 0.250 0.250
Hf 0.750 0.750 0.750
B 0.000 0.000 0.000

Properties
calculated volume	60.87	Å³ per cell
theoretical density	9.10	Mg/m³
crystal system	cubic
energy	-6.87	eV per atom

No. 2
## NiAgB4 (PBE-GGA)

Data for NiAgB4 after structural relaxation.

Lattice parameters (Å, degrees): 2.996 2.996 7.310 90.00 90.00 120.00
Fractional positions:
Ni 0.000 0.000 0.000
B 0.667 0.333 0.200
B 0.667 0.333 0.800
B 0.333 0.667 0.800
Ag 0.000 0.000 0.500
B 0.333 0.667 0.200

Properties
calculated volume	56.81	Å³ per cell
theoretical density	6.13	Mg/m³
crystal system	hexagonal
excess energy over the best structure of this formula in the dataset	0	meV per atom
energy	-5.54	eV per atom

No. 3
## NdBiW (PBE-GGA)

Data for NdBiW after structural relaxation.

Lattice parameters (Å, degrees): 4.922 4.922 4.922 60.00 60.00 60.00
Each line ends with the local moment (μB).
Fractional positions:
W 0.750 0.750 0.750  -0.06
Bi 0.000 0.000 0.000  0.00
Nd 0.250 0.250 0.250  -0.01

Properties
calculated volume	84.29	Å³ per cell
theoretical density	10.58	Mg/m³
crystal system	cubic
energy	-6.35	eV per atom

No. 4
## Nd4Ge3S12 (PBE-GGA)

Data for Nd4Ge3S12 after structural relaxation.

Lattice parameters (Å, degrees): 7.999 11.537 11.537 114.83 103.36 103.36
Fractional positions:
S 0.719 0.531 0.604
S 0.647 0.279 0.734
S 0.615 0.927 0.396
S 0.913 0.266 0.545
Nd 0.501 0.000 0.000
S 0.889 0.685 0.974
Ge 0.644 0.614 0.788
Ge 0.144 0.788 0.614
S 0.147 0.734 0.279
S 0.812 0.997 0.184
Nd 0.286 0.223 0.762
S 0.315 0.003 0.187
S 0.389 0.974 0.685
S 0.628 0.816 0.813
Ge 0.856 0.212 0.825
Ge 0.031 0.175 0.386
Nd 0.063 0.538 0.777
S 0.413 0.545 0.266
S 0.815 0.187 0.003
S 0.368 0.455 0.721
S 0.414 0.711 0.026
S 0.868 0.721 0.455
Ge 0.356 0.825 0.212
Nd 0.786 0.762 0.223
S 0.312 0.184 0.997
S 0.688 0.469 0.073
S 0.703 0.315 0.289
Nd 0.025 0.462 0.238
S 0.188 0.073 0.469
Ge 0.531 0.386 0.175
S 0.128 0.813 0.816
S 0.219 0.604 0.531
Nd 0.525 0.238 0.462
Nd 0.001 0.000 0.000
S 0.203 0.289 0.315
S 0.914 0.026 0.711
Nd 0.563 0.777 0.538
S 0.115 0.396 0.927

Properties
calculated volume	872.82	Å³ per cell
theoretical density	4.49	Mg/m³
crystal system	trigonal
energy	-5.59	eV per atom

No. 5
## AgF4 (PBE-GGA)

Data for AgF4 after structural relaxation.

Lattice parameters (Å, degrees): 3.978 3.978 3.978 106.25 106.25 116.13
Fractional positions:
F 0.359 0.808 0.167
F 0.641 0.192 0.833
F 0.808 0.641 0.449
Ag 0.000 0.000 0.000
F 0.192 0.359 0.551

Properties
calculated volume	47.98	Å³ per cell
theoretical density	6.36	Mg/m³
crystal system	tetragonal
excess energy over the best structure of this formula in the dataset	2	meV per atom
energy	-2.50	eV per atom

No. 6
## TbMg (PBE-GGA)

Data for TbMg after structural relaxation.

Lattice parameters (Å, degrees): 6.145 6.711 5.358 90.00 90.00 90.00
Fractional positions:
Tb 0.295 0.005 0.500
Tb 0.538 0.745 0.000
Mg 0.998 0.001 0.000
Mg 0.836 0.749 0.500
Mg 0.498 0.249 0.000
Mg 0.336 0.501 0.500
Tb 0.038 0.505 0.000
Tb 0.795 0.245 0.500

Properties
calculated volume	220.94	Å³ per cell
theoretical density	5.51	Mg/m³
crystal system	orthorhombic
energy	-3.09	eV per atom

No. 7
## YErB (PBE-GGA)

Data for YErB after structural relaxation.

Lattice parameters (Å, degrees): 4.515 4.515 4.515 60.00 60.00 60.00
Fractional positions:
Y 0.750 0.750 0.750
B 0.000 0.000 0.000
Er 0.250 0.250 0.250

Properties
calculated volume	65.07	Å³ per cell
theoretical density	6.81	Mg/m³
crystal system	cubic
excess energy over the best structure of this formula in the dataset	0	meV per atom
energy	-5.85	eV per atom

No. 8
## TaGaPb (PBE-GGA)

Data for TaGaPb after structural relaxation.

Lattice parameters (Å, degrees): 4.837 4.837 4.837 60.00 60.00 60.00
Fractional positions:
Ta 0.750 0.750 0.750
Ga 0.000 0.000 0.000
Pb 0.250 0.250 0.250

Properties
calculated volume	80.02	Å³ per cell
theoretical density	9.50	Mg/m³
crystal system	cubic
excess energy over the best structure of this formula in the dataset	210	meV per atom
energy	-5.20	eV per atom